Record 1
Mo2Os: relaxed, PBE-GGA.

The calculation puts the total magnetization at 0.00 μB per cell. Its energy above the lowest structure with this stoichiometry is 0 meV/atom.

The structure belongs to space group P4_2/mnm (No. 136); the cell edges are 9.688, 9.688 and 4.956 Å and the angles 90.00°, 90.00° and 90.00°. The inequivalent atoms are Mo at (0.038, 0.370, 0.000), Mo at (0.105, 0.105, 0.000), Mo at (0.179, 0.821, 0.249), Os at (0.000, 0.000, 0.500) and Os at (0.069, 0.263, 0.500).

***

Record 2
Mo2Os3: relaxed, PBE-GGA.

The calculation puts the total magnetization at 0.00 μB per cell. Its energy above the lowest structure with this stoichiometry is 0 meV/atom.

The structure belongs to space group Fdd2 (No. 43); the cell edges are 9.370, 13.216 and 4.884 Å and the angles 90.00°, 90.00° and 90.00°. The inequivalent atoms are Mo at (0.033, 0.199, 0.000), Os at (0.000, 0.000, 0.060) and Os at (0.056, 0.096, 0.539).

***

Record 3
Mo5Os: relaxed, PBE-GGA.

The calculation puts the total magnetization at 0.00 μB per cell. Its energy above the lowest structure with this stoichiometry is 294 meV/atom.

The structure belongs to space group F-43m (No. 216); the cell edges are 7.282, 7.282 and 7.282 Å and the angles 90.00°, 90.00° and 90.00°. The inequivalent atoms are Mo at (0.000, 0.000, 0.000), Mo at (0.126, 0.126, 0.626) and Os at (0.250, 0.250, 0.250).

***

Record 4
MoPOs: relaxed, PBE-GGA.

The calculation puts the total magnetization at 0.00 μB per cell.

The structure belongs to space group Imm2 (No. 44); the cell edges are 2.878, 4.022 and 7.456 Å and the angles 90.00°, 90.00° and 90.00°. The inequivalent atoms are Mo at (0.000, 0.000, 0.000), P at (0.000, 0.000, 0.671) and Os at (0.000, 0.000, 0.347).

***

Record 5
Mo2POs: relaxed, PBE-GGA.

The calculation puts the total magnetization at 0.00 μB per cell.

The structure belongs to space group Amm2 (No. 38); the cell edges are 3.831, 2.900 and 10.533 Å and the angles 90.00°, 90.00° and 90.00°. The inequivalent atoms are Mo at (0.000, 0.000, 0.000), Mo at (0.500, 0.000, 0.348), P at (0.000, 0.000, 0.759) and Os at (0.500, 0.000, 0.619).

***

Record 6
MoPOs: relaxed, PBE-GGA.

The calculation puts the total magnetization at 0.00 μB per cell.

The structure belongs to space group P-6m2 (No. 187); the cell edges are 4.1443, 4.1443 and 2.8350 Å and the angles 90.00°, 90.00° and 120.00°. The inequivalent atoms are Mo at (0.0000, 0.0000, 0.0000), P at (0.3333, 0.6667, 0.5000) and Os at (0.6667, 0.3333, 0.5000).

***

Record 7
MoP4Os: relaxed, PBE-GGA.

The calculation puts the total magnetization at 0.00 μB per cell.

The structure belongs to space group F-43m (No. 216); the cell edges are 6.916, 6.916 and 6.916 Å and the angles 90.00°, 90.00° and 90.00°. The inequivalent atoms are Mo at (0.000, 0.000, 0.000), P at (0.125, 0.125, 0.375) and Os at (0.250, 0.250, 0.750).

***

Record 8
Mo2POs: relaxed, PBE-GGA.

The calculation puts the total magnetization at 0.00 μB per cell.

The structure belongs to space group R3m (No. 160, hexagonal axes); the cell edges are 2.8494, 2.8494 and 25.0706 Å and the angles 90.00°, 90.00° and 120.00°. The inequivalent atoms are Mo at (0.0000, 0.0000, 0.0000), Mo at (0.0000, 0.0000, 0.2398), P at (0.0000, 0.0000, 0.4956) and Os at (0.0000, 0.0000, 0.7547).

***

Record 9
Mo2POs: relaxed, PBE-GGA.

The calculation puts the total magnetization at 0.00 μB per cell.

The structure belongs to space group P4mm (No. 99); the cell edges are 2.909, 2.909 and 6.803 Å and the angles 90.00°, 90.00° and 90.00°. The inequivalent atoms are Mo at (0.000, 0.000, 0.000), Mo at (0.500, 0.500, 0.299), P at (0.500, 0.500, 0.790) and Os at (0.000, 0.000, 0.568).

***

Record 10
MoPOs2: relaxed, PBE-GGA.

The calculation puts the total magnetization at 0.00 μB per cell.

The structure belongs to space group P4/mmm (No. 123); the cell edges are 2.869, 2.869 and 6.754 Å and the angles 90.00°, 90.00° and 90.00°. The inequivalent atoms are Mo at (0.000, 0.000, 0.000), P at (0.000, 0.000, 0.500) and Os at (0.500, 0.500, 0.285).

***

Record 11
MoPOs2: relaxed, PBE-GGA.

The calculation puts the total magnetization at 0.00 μB per cell.

The structure belongs to space group I4/mmm (No. 139); the cell edges are 3.817, 3.817 and 7.816 Å and the angles 90.00°, 90.00° and 90.00°. The inequivalent atoms are Mo at (0.000, 0.000, 0.000), P at (0.000, 0.000, 0.500) and Os at (0.000, 0.500, 0.250).

***

Record 12
Mo2POs: relaxed, PBE-GGA.

The calculation puts the total magnetization at 0.00 μB per cell.

The structure belongs to space group Cmmm (No. 65); the cell edges are 4.980, 8.180 and 2.869 Å and the angles 90.00°, 90.00° and 90.00°. The inequivalent atoms are Mo at (0.250, 0.250, 0.000), P at (0.000, 0.000, 0.500) and Os at (0.000, 0.500, 0.500).

***

Record 13
MoPOs2: relaxed, PBE-GGA.

The calculation puts the total magnetization at 0.00 μB per cell.

The structure belongs to space group P4/mmm (No. 123); the cell edges are 4.421, 4.421 and 2.961 Å and the angles 90.00°, 90.00° and 90.00°. The inequivalent atoms are Mo at (0.000, 0.000, 0.000), P at (0.500, 0.500, 0.000) and Os at (0.000, 0.500, 0.500).

***

Record 14
Mo2POs: relaxed, PBE-GGA.

The calculation puts the total magnetization at 0.00 μB per cell.

The structure belongs to space group Imm2 (No. 44); the cell edges are 2.916, 4.395 and 8.983 Å and the angles 90.00°, 90.00° and 90.00°. The inequivalent atoms are Mo at (0.000, 0.000, 0.000), Mo at (0.000, 0.500, 0.202), P at (0.000, 0.500, 0.720) and Os at (0.000, 0.000, 0.431).

***

Record 15
MoPOs: relaxed, PBE-GGA.

The calculation puts the total magnetization at 0.00 μB per cell.

The structure belongs to space group F-43m (No. 216); the cell edges are 5.813, 5.813 and 5.813 Å and the angles 90.00°, 90.00° and 90.00°. The inequivalent atoms are Mo at (0.000, 0.000, 0.000), P at (0.000, 0.000, 0.500) and Os at (0.250, 0.250, 0.250).

***

Record 16
MoPOs3: relaxed, PBE-GGA.

The calculation puts the total magnetization at 0.00 μB per cell. Its energy above the lowest structure with this stoichiometry is 1505 meV/atom.

The structure belongs to space group Pm-3m (No. 221); the cell edges are 4.684, 4.684 and 4.684 Å and the angles 90.00°, 90.00° and 90.00°. The inequivalent atoms are Mo at (0.000, 0.000, 0.000), P at (0.500, 0.500, 0.500) and Os at (0.000, 0.000, 0.500).

***

Record 17
Mo2POs: relaxed, PBE-GGA.

The calculation puts the total magnetization at 1.66 μB per cell.

The structure belongs to space group F-43m (No. 216); the cell edges are 6.147, 6.147 and 6.147 Å and the angles 90.00°, 90.00° and 90.00°. The inequivalent atoms are Mo at (0.000, 0.000, 0.000), Mo at (0.250, 0.250, 0.250), P at (0.250, 0.250, 0.750) and Os at (0.000, 0.000, 0.500).

***

Record 18
MoPOs2: relaxed, PBE-GGA.

The calculation puts the total magnetization at 0.00 μB per cell.

The structure belongs to space group Cmmm (No. 65); the cell edges are 2.899, 4.765 and 8.441 Å and the angles 90.00°, 90.00° and 90.00°. The inequivalent atoms are Mo at (0.000, 0.000, 0.000), P at (0.000, 0.000, 0.500) and Os at (0.000, 0.500, 0.273).

***

Record 19
MoPOs2: relaxed, PBE-GGA.

The calculation puts the total magnetization at 0.00 μB per cell.

The structure belongs to space group Pmm2 (No. 25); the cell edges are 2.818, 3.918 and 5.293 Å and the angles 90.00°, 90.00° and 90.00°. The inequivalent atoms are Mo at (0.000, 0.000, 0.000), P at (0.500, 0.500, 0.825), Os at (0.000, 0.000, 0.526) and Os at (0.500, 0.500, 0.347).

***

Record 20
MoPOs2: relaxed, PBE-GGA.

The calculation puts the total magnetization at 0.00 μB per cell.

The structure belongs to space group C2/m (No. 12); the cell edges are 9.539, 2.832 and 4.352 Å and the angles 90.00°, 90.01° and 90.00°. The inequivalent atoms are Mo at (0.000, 0.000, 0.000), P at (0.000, 0.500, 0.500) and Os at (0.221, 0.500, 0.242).

***

Record 21
Mo2POs: relaxed, PBE-GGA.

The calculation puts the total magnetization at 0.00 μB per cell.

The structure belongs to space group P2/m (No. 10); the cell edges are 2.819, 4.022 and 5.149 Å and the angles 90.00°, 97.42° and 90.00°. The inequivalent atoms are Mo at (0.063, 0.000, 0.260), P at (0.500, 0.500, 0.500) and Os at (0.500, 0.500, 0.000).

***

Record 22
Mo2POs: relaxed, PBE-GGA.

The calculation puts the total magnetization at 0.00 μB per cell.

The structure belongs to space group Pmmm (No. 47); the cell edges are 2.855, 4.048 and 5.016 Å and the angles 90.00°, 90.00° and 90.00°. The inequivalent atoms are Mo at (0.000, 0.000, 0.242), P at (0.500, 0.500, 0.000) and Os at (0.500, 0.500, 0.500).

***

Record 23
MoPOs2: relaxed, PBE-GGA.

The calculation puts the total magnetization at 0.00 μB per cell.

The structure belongs to space group R3m (No. 160, hexagonal axes); the cell edges are 2.7998, 2.7998 and 25.0608 Å and the angles 90.00°, 90.00° and 120.00°. The inequivalent atoms are Mo at (0.0000, 0.0000, 0.0000), P at (0.0000, 0.0000, 0.7489), Os at (0.0000, 0.0000, 0.2464) and Os at (0.0000, 0.0000, 0.4879).

***

Record 24
Mo2POs: relaxed, PBE-GGA.

The calculation puts the total magnetization at 0.00 μB per cell.

The structure belongs to space group I-42d (No. 122); the cell edges are 5.909, 5.909 and 9.432 Å and the angles 90.00°, 90.00° and 90.00°. The inequivalent atoms are Mo at (0.239, 0.250, 0.125), P at (0.000, 0.000, 0.000) and Os at (0.000, 0.000, 0.500).

***

Record 25
MoPOs2: relaxed, PBE-GGA.

The calculation puts the total magnetization at 0.00 μB per cell.

The structure belongs to space group I-42d (No. 122); the cell edges are 5.456, 5.456 and 10.824 Å and the angles 90.00°, 90.00° and 90.00°. The inequivalent atoms are Mo at (0.000, 0.000, 0.000), P at (0.000, 0.000, 0.500) and Os at (0.222, 0.250, 0.625).

***

Record 26
MoP3Os: relaxed, PBE-GGA.

The calculation puts the total magnetization at 2.64 μB per cell. Its energy above the lowest structure with this stoichiometry is 0 meV/atom.

The structure belongs to space group Pm-3m (No. 221); the cell edges are 4.583, 4.583 and 4.583 Å and the angles 90.00°, 90.00° and 90.00°. The inequivalent atoms are Mo at (0.000, 0.000, 0.000), P at (0.000, 0.500, 0.500) and Os at (0.500, 0.500, 0.500).

***

Record 27
MoPOs2: relaxed, PBE-GGA.

The calculation puts the total magnetization at 0.00 μB per cell.

The structure belongs to space group Cmm2 (No. 35); the cell edges are 2.915, 4.747 and 8.404 Å and the angles 90.00°, 90.00° and 90.00°. The inequivalent atoms are Mo at (0.000, 0.000, 0.000), P at (0.000, 0.500, 0.763), Os at (0.000, 0.000, 0.545) and Os at (0.000, 0.500, 0.264).

***

Record 28
MoPOs2: relaxed, PBE-GGA.

The calculation puts the total magnetization at 0.00 μB per cell.

The structure belongs to space group I-4m2 (No. 119); the cell edges are 3.770, 3.770 and 7.955 Å and the angles 90.00°, 90.00° and 90.00°. The inequivalent atoms are Mo at (0.000, 0.000, 0.000), P at (0.000, 0.500, 0.250), Os at (0.000, 0.000, 0.500) and Os at (0.000, 0.500, 0.750).

***

Calculated values (eV/atom) of ΔH_f (0 K) for the records, taken in order: -0.0247 0.0750 0.3791 0.1063 -0.0901 -0.1722 0.9077 0.1480 -0.0219 -0.0820 0.3383 0.1181 0.4243 -0.1732 -0.0348 2.5278 0.2428 0.4719 0.2058 0.1361 -0.0134 -0.0038 0.0648 0.7747 0.6141 1.1591 0.4686 0.3281.